Here is an optimized crystal structure of CeAl7Au3 from the Alexandria database. Energies are from PBEsol.

```
data_CeAl7Au3
_cell_length_a 8.0655
_cell_length_b 8.0655
_cell_length_c 20.9572
_cell_angle_alpha 90.00
_cell_angle_beta 90.00
_cell_angle_gamma 120.00
_space_group_name_H-M_alt 'R -3 c'
_space_group_IT_number 167
_space_group_name_Hall '-R 3 2"c'
loop_
_atom_site_label
_atom_site_fract_x
_atom_site_fract_y
_atom_site_fract_z
Ce1 0.0000 0.0000 0.0000
Al1 0.0000 0.0000 0.2500
Al2 0.0110 0.2067 0.1363
Au1 0.0000 0.3209 0.2500
```

Values from the calculation:
M_tot in μB/f.u.: 0.60
Electronic total energy in eV/atom: -4.79
Formation energy from the elements in eV/atom: -0.5126

***

Here is an optimized crystal structure of AlAuCl2 from the Alexandria database. Energies are from PBEsol.

```
data_AlAuCl2
_cell_length_a 6.761
_cell_length_b 6.761
_cell_length_c 6.761
_cell_angle_alpha 90.00
_cell_angle_beta 90.00
_cell_angle_gamma 90.00
_space_group_name_H-M_alt 'F m -3 m'
_space_group_IT_number 225
_space_group_name_Hall '-F 4 2 3'
loop_
_atom_site_label
_atom_site_fract_x
_atom_site_fract_y
_atom_site_fract_z
Al1 0.000 0.000 0.000
Au1 0.000 0.000 0.500
Cl1 0.250 0.250 0.250
```

Values from the calculation:
M_tot in μB/f.u.: 0.00
Electronic total energy in eV/atom: -2.93
Raw formation energy in kJ/mol of formula units: 32

***

Here is an optimized crystal structure of AlAu2Cl from the Alexandria database. Energies are from PBEsol.

```
data_AlAu2Cl
_cell_length_a 4.952
_cell_length_b 4.952
_cell_length_c 2.867
_cell_angle_alpha 90.00
_cell_angle_beta 90.00
_cell_angle_gamma 90.00
_space_group_name_H-M_alt 'P 4/m m m'
_space_group_IT_number 123
_space_group_name_Hall '-P 4 2'
loop_
_atom_site_label
_atom_site_fract_x
_atom_site_fract_y
_atom_site_fract_z
Al1 0.000 0.000 0.000
Au1 0.000 0.500 0.500
Cl1 0.500 0.500 0.000
```

Values from the calculation:
M_tot in μB/f.u.: 0.00
Electronic total energy in eV/atom: -3.30
Raw formation energy in kJ/mol of formula units: 73

***

Here is an optimized crystal structure of AlAuCl2 from the Alexandria database. Energies are from PBEsol.

```
data_AlAuCl2
_cell_length_a 8.855
_cell_length_b 8.855
_cell_length_c 5.001
_cell_angle_alpha 90.00
_cell_angle_beta 90.00
_cell_angle_gamma 90.00
_space_group_name_H-M_alt 'I -4 2 d'
_space_group_IT_number 122
_space_group_name_Hall 'I -4 2bw'
loop_
_atom_site_label
_atom_site_fract_x
_atom_site_fract_y
_atom_site_fract_z
Al1 0.000 0.000 0.000
Au1 0.000 0.000 0.500
Cl1 0.080 0.750 0.125
```

Values from the calculation:
M_tot in μB/f.u.: 0.00
Electronic total energy in eV/atom: -3.38
Raw formation energy in kJ/mol of formula units: -142

***

Here is an optimized crystal structure of AlAu2Cl from the Alexandria database. Energies are from PBEsol.

```
data_AlAu2Cl
_cell_length_a 4.212
_cell_length_b 4.212
_cell_length_c 7.953
_cell_angle_alpha 90.00
_cell_angle_beta 90.00
_cell_angle_gamma 90.00
_space_group_name_H-M_alt 'I -4 m 2'
_space_group_IT_number 119
_space_group_name_Hall 'I -4 -2'
loop_
_atom_site_label
_atom_site_fract_x
_atom_site_fract_y
_atom_site_fract_z
Al1 0.000 0.000 0.000
Au1 0.000 0.000 0.500
Au2 0.000 0.500 0.250
Cl1 0.000 0.500 0.750
```

Values from the calculation:
M_tot in μB/f.u.: 0.00
Electronic total energy in eV/atom: -3.34
Raw formation energy in kJ/mol of formula units: 58

***

Here is an optimized crystal structure of AlAu2Cl from the Alexandria database. Energies are from PBEsol.

```
data_AlAu2Cl
_cell_length_a 2.911
_cell_length_b 4.661
_cell_length_c 10.678
_cell_angle_alpha 90.00
_cell_angle_beta 90.00
_cell_angle_gamma 90.00
_space_group_name_H-M_alt 'I m m m'
_space_group_IT_number 71
_space_group_name_Hall '-I 2 2'
loop_
_atom_site_label
_atom_site_fract_x
_atom_site_fract_y
_atom_site_fract_z
Al1 0.000 0.000 0.000
Au1 0.000 0.500 0.298
Cl1 0.000 0.000 0.500
```

Values from the calculation:
M_tot in μB/f.u.: 0.00
Electronic total energy in eV/atom: -3.67
Raw formation energy in kJ/mol of formula units: -71

***

Here is an optimized crystal structure of AlAuCl2 from the Alexandria database. Energies are from PBEsol.

```
data_AlAuCl2
_cell_length_a 3.303
_cell_length_b 4.154
_cell_length_c 5.668
_cell_angle_alpha 90.00
_cell_angle_beta 90.00
_cell_angle_gamma 90.00
_space_group_name_H-M_alt 'P m m m'
_space_group_IT_number 47
loop_
_space_group_symop_operation_xyz
'x,y,z'
'-x,-y,-z'
'-x,-y,z'
'x,y,-z'
'x,-y,-z'
'-x,y,z'
'-x,y,-z'
'x,-y,z'
loop_
_atom_site_label
_atom_site_fract_x
_atom_site_fract_y
_atom_site_fract_z
Al1 0.000 0.000 0.000
Au1 0.500 0.000 0.500
Cl1 0.000 0.500 0.500
Cl2 0.500 0.500 0.000
```

Values from the calculation:
M_tot in μB/f.u.: 0.00
Electronic total energy in eV/atom: -3.04
Raw formation energy in kJ/mol of formula units: -12

***

Here is an optimized crystal structure of AlAu2Cl from the Alexandria database. Energies are from PBEsol.

```
data_AlAu2Cl
_cell_length_a 2.875
_cell_length_b 4.811
_cell_length_c 5.069
_cell_angle_alpha 90.00
_cell_angle_beta 90.00
_cell_angle_gamma 90.00
_space_group_name_H-M_alt 'P m m m'
_space_group_IT_number 47
loop_
_space_group_symop_operation_xyz
'x,y,z'
'-x,-y,-z'
'-x,-y,z'
'x,y,-z'
'x,-y,-z'
'-x,y,z'
'-x,y,-z'
'x,-y,z'
loop_
_atom_site_label
_atom_site_fract_x
_atom_site_fract_y
_atom_site_fract_z
Al1 0.000 0.000 0.000
Au1 0.000 0.500 0.500
Au2 0.500 0.500 0.000
Cl1 0.500 0.000 0.500
```

Values from the calculation:
M_tot in μB/f.u.: 0.00
Electronic total energy in eV/atom: -3.49
Raw formation energy in kJ/mol of formula units: 1

***

Here is an optimized crystal structure of AlPAu2Cl from the Alexandria database. Energies are from PBEsol.

```
data_AlPAu2Cl
_cell_length_a 4.863
_cell_length_b 4.863
_cell_length_c 4.585
_cell_angle_alpha 90.00
_cell_angle_beta 90.00
_cell_angle_gamma 90.00
_space_group_name_H-M_alt 'P 4/m m m'
_space_group_IT_number 123
_space_group_name_Hall '-P 4 2'
loop_
_atom_site_label
_atom_site_fract_x
_atom_site_fract_y
_atom_site_fract_z
Al1 0.000 0.000 0.000
P1 0.000 0.000 0.500
Au1 0.000 0.500 0.000
Cl1 0.500 0.500 0.500
```

Values from the calculation:
M_tot in μB/f.u.: 0.00
Electronic total energy in eV/atom: -3.33
Raw formation energy in kJ/mol of formula units: 298

***

Here is an optimized crystal structure of AlW2AuCl from the Alexandria database. Energies are from PBEsol.

```
data_AlW2AuCl
_cell_length_a 4.371
_cell_length_b 4.371
_cell_length_c 4.732
_cell_angle_alpha 90.00
_cell_angle_beta 90.00
_cell_angle_gamma 90.00
_space_group_name_H-M_alt 'P 4/m m m'
_space_group_IT_number 123
_space_group_name_Hall '-P 4 2'
loop_
_atom_site_label
_atom_site_fract_x
_atom_site_fract_y
_atom_site_fract_z
Al1 0.000 0.000 0.000
W1 0.000 0.500 0.500
Au1 0.500 0.500 0.000
Cl1 0.500 0.500 0.500
```

Values from the calculation:
M_tot in μB/f.u.: 0.00
Electronic total energy in eV/atom: -5.88
Raw formation energy in kJ/mol of formula units: 793

***

Here is an optimized crystal structure of Al2CoAu from the Alexandria database. Energies are from PBEsol.

```
data_Al2CoAu
_cell_length_a 6.004
_cell_length_b 6.004
_cell_length_c 6.004
_cell_angle_alpha 90.00
_cell_angle_beta 90.00
_cell_angle_gamma 90.00
_space_group_name_H-M_alt 'F m -3 m'
_space_group_IT_number 225
_space_group_name_Hall '-F 4 2 3'
loop_
_atom_site_label
_atom_site_fract_x
_atom_site_fract_y
_atom_site_fract_z
Al1 0.250 0.250 0.250
Co1 0.000 0.000 0.000
Au1 0.000 0.000 0.500
```

Values from the calculation:
M_tot in μB/f.u.: 0.01
Electronic total energy in eV/atom: -5.32
Formation energy from the elements in eV/atom: -0.3593

***

Here is an optimized crystal structure of AlCoAu from the Alexandria database. Energies are from PBEsol.

```
data_AlCoAu
_cell_length_a 2.8017
_cell_length_b 2.8017
_cell_length_c 6.1458
_cell_angle_alpha 90.00
_cell_angle_beta 90.00
_cell_angle_gamma 120.00
_space_group_name_H-M_alt 'P 3 m 1'
_space_group_IT_number 156
loop_
_space_group_symop_operation_xyz
'x,y,z'
'-y,x-y,z'
'-x+y,-x,z'
'-y,-x,z'
'-x+y,y,z'
'x,x-y,z'
loop_
_atom_site_label
_atom_site_fract_x
_atom_site_fract_y
_atom_site_fract_z
Al1 0.0000 0.0000 0.0000
Co1 0.3333 0.6667 0.2874
Au1 0.6667 0.3333 0.6403
```

Values from the calculation:
M_tot in μB/f.u.: 0.85
Electronic total energy in eV/atom: -5.30
Formation energy from the elements in eV/atom: -0.0526

***

Here is an optimized crystal structure of AlCoHAu2 from the Alexandria database. Energies are from PBEsol.

```
data_AlCoHAu2
_cell_length_a 4.716
_cell_length_b 4.716
_cell_length_c 4.396
_cell_angle_alpha 90.00
_cell_angle_beta 90.00
_cell_angle_gamma 90.00
_space_group_name_H-M_alt 'P 4/m m m'
_space_group_IT_number 123
_space_group_name_Hall '-P 4 2'
loop_
_atom_site_label
_atom_site_fract_x
_atom_site_fract_y
_atom_site_fract_z
Al1 0.000 0.000 0.000
Co1 0.000 0.000 0.500
H1 0.500 0.500 0.500
Au1 0.000 0.500 0.000
```

Values from the calculation:
M_tot in μB/f.u.: 2.32
Electronic total energy in eV/atom: -3.31

***

Here is an optimized crystal structure of AlCoIrAu2 from the Alexandria database. Energies are from PBEsol.

```
data_AlCoIrAu2
_cell_length_a 4.657
_cell_length_b 4.657
_cell_length_c 4.282
_cell_angle_alpha 90.00
_cell_angle_beta 90.00
_cell_angle_gamma 90.00
_space_group_name_H-M_alt 'P 4/m m m'
_space_group_IT_number 123
_space_group_name_Hall '-P 4 2'
loop_
_atom_site_label
_atom_site_fract_x
_atom_site_fract_y
_atom_site_fract_z
Al1 0.000 0.000 0.000
Co1 0.500 0.500 0.500
Ir1 0.500 0.500 0.000
Au1 0.000 0.500 0.500
```

Values from the calculation:
M_tot in μB/f.u.: 0.29
Electronic total energy in eV/atom: -4.90
Formation energy from the elements in eV/atom: 1.0030